1.
This record from Alexandria describes crystalline SiSbTe2Cl at its relaxed geometry. The functional is GGA-PBEsol. Values from VASP.

Geometry as Quantum ESPRESSO input:
```
&SYSTEM
  ibrav = 0, nat = 5, ntyp = 4
/
ATOMIC_SPECIES
Sb 121.76 Sb.upf
Te 127.60 Te.upf
Si 28.09 Si.upf
Cl 35.45 Cl.upf
ATOMIC_POSITIONS crystal
Sb 0.0000 0.0000 0.5000
Te 0.5000 0.0000 0.0000
Te 0.0000 0.5000 0.0000
Si 0.0000 0.0000 0.0000
Cl 0.5000 0.5000 0.5000
CELL_PARAMETERS angstrom
5.1484 0.0000 0.0000
0.0000 5.1484 0.0000
0.0000 0.0000 5.2484
```

Calculated values
Energy relative to the elements, uncorrected   409 meV per atom
M_tot   0.00 μB per formula unit
DOS(E_F)   0.86 states/eV per atom

2.
This record from Alexandria describes crystalline Y2SnSbCl at its relaxed geometry. The functional is GGA-PBEsol. Values from VASP.

Geometry as Quantum ESPRESSO input:
```
&SYSTEM
  ibrav = 0, nat = 5, ntyp = 4
/
ATOMIC_SPECIES
Y 88.91 Y.upf
Cl 35.45 Cl.upf
Sn 118.71 Sn.upf
Sb 121.76 Sb.upf
ATOMIC_POSITIONS crystal
Y 0.0000 0.5000 0.0000
Y 0.0000 0.0000 0.5000
Cl 0.5000 0.5000 0.5000
Sn 0.5000 0.0000 0.0000
Sb 0.0000 0.0000 0.0000
CELL_PARAMETERS angstrom
5.4838 0.0000 0.0000
0.0000 5.7201 0.0000
0.0000 0.0000 5.7201
```

Calculated values
Energy relative to the elements, uncorrected   82 meV per atom
M_tot   0.68 μB per formula unit
DOS(E_F)   1.11 states/eV per atom

3.
This record from Alexandria describes crystalline SrSb4Cl at its relaxed geometry. The functional is GGA-PBEsol. Values from VASP.

Geometry as Quantum ESPRESSO input:
```
&SYSTEM
  ibrav = 0, nat = 6, ntyp = 3
/
ATOMIC_SPECIES
Cl 35.45 Cl.upf
Sb 121.76 Sb.upf
Sr 87.62 Sr.upf
ATOMIC_POSITIONS crystal
Cl 0.0000 0.0000 0.0000
Sb 0.8905 0.3698 0.3698
Sb 0.3698 0.3698 0.8905
Sb 0.3698 0.8905 0.3698
Sb 0.3698 0.3698 0.3698
Sr 0.7500 0.7500 0.7500
CELL_PARAMETERS angstrom
6.2503 0.0000 0.0000
3.1251 5.4129 0.0000
3.1251 1.8043 5.1033
```

Calculated values
Energy relative to the elements, uncorrected   -424 meV per atom
M_tot   0.00 μB per formula unit
DOS(E_F)   0.88 states/eV per atom

4.
This record from Alexandria describes crystalline Sr2SbCl at its relaxed geometry. The functional is GGA-PBEsol. Values from VASP.

Geometry as Quantum ESPRESSO input:
```
&SYSTEM
  ibrav = 0, nat = 4, ntyp = 3
/
ATOMIC_SPECIES
Cl 35.45 Cl.upf
Sr 87.62 Sr.upf
Sb 121.76 Sb.upf
ATOMIC_POSITIONS crystal
Cl 0.5000 0.0000 0.0000
Sr 0.7538 0.2462 0.2462
Sr 0.2462 0.7538 0.7538
Sb 0.0000 0.5000 0.5000
CELL_PARAMETERS angstrom
-1.7184 -3.1995 4.0393
3.1377 -4.2610 1.6120
2.5180 0.2470 4.9192
```

Calculated values
Energy relative to the elements, uncorrected   -1487 meV per atom
M_tot   0.00 μB per formula unit
DOS(E_F)   0.00 states/eV per atom

5.
This record from Alexandria describes crystalline Sr2SbCl at its relaxed geometry. The functional is GGA-PBEsol. Values from VASP.

Geometry as Quantum ESPRESSO input:
```
&SYSTEM
  ibrav = 0, nat = 4, ntyp = 3
/
ATOMIC_SPECIES
Sr 87.62 Sr.upf
Sb 121.76 Sb.upf
Cl 35.45 Cl.upf
ATOMIC_POSITIONS crystal
Sr 0.8998 0.5000 0.0000
Sr 0.3694 0.0000 0.5000
Sb 0.8656 0.5000 0.5000
Cl 0.3652 0.0000 0.0000
CELL_PARAMETERS angstrom
-0.6817 3.4036 -3.0124
2.6566 -2.1799 -3.0641
-5.0628 -3.0062 -2.2508
```

Calculated values
Energy relative to the elements, uncorrected   -1533 meV per atom
M_tot   0.00 μB per formula unit
DOS(E_F)   0.02 states/eV per atom

6.
This record from Alexandria describes crystalline Tc4SbCl at its relaxed geometry. The functional is GGA-PBEsol. Values from VASP.

Geometry as Quantum ESPRESSO input:
```
&SYSTEM
  ibrav = 0, nat = 6, ntyp = 3
/
ATOMIC_SPECIES
Tc 98.00 Tc.upf
Cl 35.45 Cl.upf
Sb 121.76 Sb.upf
ATOMIC_POSITIONS crystal
Tc 0.8753 0.3749 0.3749
Tc 0.3749 0.8753 0.3749
Tc 0.3749 0.3749 0.8753
Tc 0.3749 0.3749 0.3749
Cl 0.7500 0.7500 0.7500
Sb 0.0000 0.0000 0.0000
CELL_PARAMETERS angstrom
5.1853 0.0000 0.0000
2.5926 4.4906 0.0000
2.5926 1.4969 4.2337
```

Calculated values
Energy relative to the elements, uncorrected   881 meV per atom
M_tot   0.00 μB per formula unit
DOS(E_F)   1.09 states/eV per atom

7.
This record from Alexandria describes crystalline TcSbCl3 at its relaxed geometry. The functional is GGA-PBEsol. Values from VASP.

Geometry as Quantum ESPRESSO input:
```
&SYSTEM
  ibrav = 0, nat = 5, ntyp = 3
/
ATOMIC_SPECIES
Tc 98.00 Tc.upf
Cl 35.45 Cl.upf
Sb 121.76 Sb.upf
ATOMIC_POSITIONS crystal
Tc 0.5000 0.5000 0.5000
Cl 0.0000 0.5000 0.0000
Cl 0.5000 0.0000 0.0000
Cl 0.0000 0.0000 0.5000
Sb 0.0000 0.0000 0.0000
CELL_PARAMETERS angstrom
-0.7231 -3.0317 -4.3193
4.8195 -2.1552 0.7059
-2.1495 -3.8124 3.0358
```

Calculated values
Energy relative to the elements, uncorrected   717 meV per atom
M_tot   5.59 μB per formula unit
DOS(E_F)   1.02 states/eV per atom

8.
This record from Alexandria describes crystalline TcSb2Cl at its relaxed geometry. The functional is GGA-PBEsol. Values from VASP.

Geometry as Quantum ESPRESSO input:
```
&SYSTEM
  ibrav = 0, nat = 4, ntyp = 3
/
ATOMIC_SPECIES
Cl 35.45 Cl.upf
Tc 98.00 Tc.upf
Sb 121.76 Sb.upf
ATOMIC_POSITIONS crystal
Cl 0.0000 0.0000 0.0000
Tc 0.0000 0.5000 0.5000
Sb 0.0000 0.0000 0.5000
Sb 0.0000 0.5000 0.0000
CELL_PARAMETERS angstrom
-1.4262 -2.5850 -0.9840
1.6505 -4.0502 3.1573
-4.7257 -0.3132 2.5820
```

Calculated values
Polymorph energy (0 for the lowest one)   0.95 eV/f.u.
Energy relative to the elements, uncorrected   253 meV per atom
M_tot   0.58 μB per formula unit
DOS(E_F)   0.58 states/eV per atom

Number 1: calculated total energy -17.32 eV/f.u.. Number 2: calculated total energy -24.06 eV/f.u.. Number 3: calculated total energy -24.62 eV/f.u.. Number 4: calculated total energy -16.19 eV/f.u.. Number 5: calculated total energy -16.38 eV/f.u.. Number 6: calculated total energy -46.35 eV/f.u.. Number 7: calculated total energy -18.26 eV/f.u.. Number 8: calculated total energy -21.38 eV/f.u..